AuSe2Cl: optimized geometry, PBE-GGA.

Calculated values
Energy ... -10.2 eV for the cell shown
Size of the total moment ... 0.0 μB/f.u.
Energy relative to the elements, uncorrected ... 0.478 eV per atom

Cell lengths 3.1375, 3.1375, 8.1951 Å; angles 90.00, 90.00, 90.00 degrees
Closest atoms and distances in Å follow each position.
Space group P4/mmm (No. 123)
Symmetry-distinct sites (fractional):
Au (0.0000, 0.0000, 0.0000)  8 Se 2.93, 4 Au 3.14
Se (0.5000, 0.5000, 0.2330)  4 Au 2.93, 4 Cl 3.12, 4 Se 3.14
Cl (0.0000, 0.0000, 0.5000)  8 Se 3.12, 4 Cl 3.14

AuSeCl2: optimized geometry, PBE-GGA.

Calculated values
Energy ... -8.0 eV for the cell shown
Energy above the lowest structure with this stoichiometry ... 758 meV per atom
Size of the total moment ... 0.2 μB/f.u.
Energy relative to the elements, uncorrected ... 0.610 eV per atom

Cell lengths 3.1114, 4.0141, 6.5473 Å; angles 90.00, 90.00, 90.00 degrees
Closest atoms and distances in Å follow each position.
Space group Pmmm (No. 47)
Symmetry-distinct sites (fractional):
Au (0.0000, 0.0000, 0.0000)  8 Cl 3.00, 2 Au 3.11, 2 Se 3.27
Se (0.0000, 0.0000, 0.5000)  8 Cl 3.04, 2 Se 3.11, 2 Au 3.27
Cl (0.5000, 0.5000, 0.2445)  4 Au 3.00, 4 Se 3.04, 4 Cl 3.11-3.35

AuSeCl2: optimized geometry, PBE-GGA.

Calculated values
Energy ... -27.7 eV for the cell shown
Energy above the lowest structure with this stoichiometry ... 449 meV per atom
Size of the total moment ... 0.0 μB/f.u.
Energy relative to the elements, uncorrected ... 0.301 eV per atom

Cell lengths 3.3632, 3.3632, 27.5402 Å; angles 90.00, 90.00, 120.00 degrees
Closest atoms and distances in Å follow each position.
Space group R-3m (No. 166, hexagonal axes)
Symmetry-distinct sites (fractional):
Au (0.0000, 0.0000, 0.0000)  2 Cl 2.32
Se (0.0000, 0.0000, 0.5000)  6 Cl 2.99
Cl (0.0000, 0.0000, 0.0841)  1 Au 2.32